Computed, not measured: a relaxed structure of VCoOs at the PBE level of DFT.

Geometry as POSCAR:
```
VCoOs
1.0
4.179 0.000 0.000
-2.089 3.619 0.000
0.000 0.000 2.585
V Co Os
1 1 1
Direct
0.000 0.000 0.000
0.667 0.333 0.498
0.333 0.667 0.513
```

The value obtained for the total magnetic moment is 0.43 Bohr magnetons per cell. The space group is P3m1.

---

Computed, not measured: a relaxed structure of VCo3Os at the PBE level of DFT.

Geometry as POSCAR:
```
VCo3Os
1.0
1.973 -4.423 0.000
1.973 4.423 0.000
0.000 0.000 7.882
V Co Os
2 6 2
Direct
0.160 0.840 0.750
0.840 0.160 0.250
0.170 0.830 0.250
0.334 0.666 0.504
0.334 0.666 0.996
0.666 0.334 0.004
0.666 0.334 0.496
0.830 0.170 0.750
0.500 0.500 0.250
0.500 0.500 0.750
```

The value obtained for the total magnetic moment is 8.93 Bohr magnetons per cell. The space group is Cmcm.

---

Computed, not measured: a relaxed structure of VCo2Os2 at the PBE level of DFT.

Geometry as POSCAR:
```
VCo2Os2
1.0
7.047 0.000 0.000
0.000 7.047 0.000
0.000 0.000 2.617
V Co Os
2 4 4
Direct
0.000 0.000 0.000
0.500 0.500 0.000
0.118 0.382 0.000
0.382 0.882 0.000
0.618 0.118 0.000
0.882 0.618 0.000
0.179 0.679 0.500
0.321 0.179 0.500
0.679 0.821 0.500
0.821 0.321 0.500
```

The value obtained for the total magnetic moment is 0.00 Bohr magnetons per cell. The space group is P4/mbm.

---

no.,energy relative to the elements (kJ/mol of formula units)
1,18
2,191
3,76